! Ba3MnCl2F6, relaxed, DFT PBE+U; values from VASP
&SYSTEM
  ibrav = 0, nat = 12, ntyp = 4
/
ATOMIC_SPECIES
Ba 137.33 Ba.upf
Mn 54.94 Mn.upf
Cl 35.45 Cl.upf
F 19.00 F.upf
ATOMIC_POSITIONS angstrom
Ba 0.000 0.000 0.000
Ba 3.211 1.923 2.688
Ba 3.211 -1.923 2.688
Mn 6.695 0.000 2.688
Cl 2.434 0.000 4.942
Cl 10.955 0.000 0.434
F 5.675 1.883 3.720
F 7.714 1.883 1.656
F 4.787 0.000 1.911
F 8.602 0.000 3.465
F 5.675 -1.883 3.720
F 7.714 -1.883 1.656
CELL_PARAMETERS angstrom
6.967 -3.846 0.000
6.967 3.846 0.000
-0.544 0.000 5.376
! V   24.0 Å³ per atom
! Energy   -5.40 eV/atom
! SG   No. 12